MgMo2O4 (PBE+U, optimized geometry); uncorrected energy = -6.895 eV/atom; magnetization = 12.0 μB/cell; space group = R3m (160); crystal system = trigonal
1.0
-4.604 3.682 -2.242
-6.002 -1.649 1.019
-3.453 3.383 4.051
O Mo Mg
8 4 2
direct
0.867 0.867 0.400
0.846 0.389 0.389
0.389 0.389 0.846
0.387 0.387 0.387
0.867 0.400 0.867
0.400 0.867 0.867
0.389 0.846 0.389
0.869 0.869 0.869
0.624 0.122 0.624
0.231 0.231 0.231
0.624 0.624 0.122
0.122 0.624 0.624
0.004 0.004 0.004
0.629 0.629 0.629